1.
Material: Sc4Pt5
Method: DFT, PBE-GGA
State: relaxed

The structure in CIF format:
```
data_Sc4Pt5
_chemical_formula_sum 'Sc8 Pt10'
_space_group_name_H-M_alt 'P 63/m c m'
_space_group_IT_number 193
_space_group_name_Hall '-P 6c 2'
_cell_length_a 8.0582
_cell_length_b 8.0582
_cell_length_c 5.6998
_cell_angle_alpha 90.00
_cell_angle_beta 90.00
_cell_angle_gamma 120.00
loop_
_atom_site_label
_atom_site_type_symbol
_atom_site_fract_x
_atom_site_fract_y
_atom_site_fract_z
Sc1 Sc 0.0000 0.0000 0.0000
Sc2 Sc 0.0000 0.3669 0.2500
Pt1 Pt 0.0000 0.2974 0.7500
Pt2 Pt 0.3333 0.6667 0.0000
```

- DFT total energy: -7.307 eV per atom
- E above lowest polymorph: 0 meV/atom
- Crystal system: hexagonal
- Total magnetization: 0.00 μB per formula unit
- Calculated density: 11.970 g/cm³

=====

2.
Material: La8Nd3Er3
Method: DFT, PBE-GGA
State: relaxed

The structure in CIF format:
```
data_La8Nd3Er3
_chemical_formula_sum 'La16 Nd6 Er6'
_space_group_name_H-M_alt 'I m m m'
_space_group_IT_number 71
_space_group_name_Hall '-I 2 2'
_cell_length_a 5.787
_cell_length_b 11.027
_cell_length_c 15.482
_cell_angle_alpha 90.00
_cell_angle_beta 90.00
_cell_angle_gamma 90.00
loop_
_atom_site_label
_atom_site_type_symbol
_atom_site_fract_x
_atom_site_fract_y
_atom_site_fract_z
La1 La 0.000 0.159 0.225
La2 La 0.000 0.337 0.395
Nd1 Nd 0.000 0.000 0.500
Nd2 Nd 0.000 0.500 0.177
Er1 Er 0.000 0.000 0.000
Er2 Er 0.000 0.301 0.000
```

- DFT total energy: -4.726 eV per atom
- Crystal system: orthorhombic
- Total magnetization: 0.00 μB per formula unit
- Calculated density: 6.877 g/cm³

=====

3.
Material: MnHgCl3
Method: DFT, PBE-GGA
State: relaxed

The structure in CIF format:
```
data_MnHgCl3
_chemical_formula_sum 'Mn1 Hg1 Cl3'
_space_group_name_H-M_alt 'P m -3 m'
_space_group_IT_number 221
_space_group_name_Hall '-P 4 2 3'
_cell_length_a 4.931
_cell_length_b 4.931
_cell_length_c 4.931
_cell_angle_alpha 90.00
_cell_angle_beta 90.00
_cell_angle_gamma 90.00
loop_
_atom_site_label
_atom_site_type_symbol
_atom_site_fract_x
_atom_site_fract_y
_atom_site_fract_z
Mn1 Mn 0.000 0.000 0.000
Hg1 Hg 0.500 0.500 0.500
Cl1 Cl 0.000 0.000 0.500
```

- DFT total energy: -3.635 eV per atom
- E above lowest polymorph: 132 meV/atom
- Crystal system: cubic
- Total magnetization: 4.04 μB per formula unit
- E_form (uncorrected): -633 meV per atom
- Calculated density: 5.013 g/cm³

=====

4.
Material: Pa12AlTc7
Method: DFT, PBE-GGA
State: relaxed

The structure in CIF format:
```
data_Pa12AlTc7
_chemical_formula_sum 'Pa36 Al3 Tc21'
_space_group_name_H-M_alt 'R -3'
_space_group_IT_number 148
_space_group_name_Hall '-R 3'
_cell_length_a 13.4841
_cell_length_b 13.4841
_cell_length_c 8.1061
_cell_angle_alpha 90.00
_cell_angle_beta 90.00
_cell_angle_gamma 120.00
loop_
_atom_site_label
_atom_site_type_symbol
_atom_site_fract_x
_atom_site_fract_y
_atom_site_fract_z
Pa1 Pa 0.0340 0.1739 0.2736
Pa2 Pa 0.0457 0.2790 0.5883
Al1 Al 0.0000 0.0000 0.0000
Tc1 Tc 0.0000 0.0000 0.5000
Tc2 Tc 0.0621 0.2268 0.9122
```

- DFT total energy: -9.666 eV per atom
- Crystal system: trigonal
- Total magnetization: 0.00 μB per formula unit
- Calculated density: 13.603 g/cm³

=====

5.
Material: TaBe2Ir
Method: DFT, PBE-GGA
State: relaxed

The structure in CIF format:
```
data_TaBe2Ir
_chemical_formula_sum 'Ta2 Be4 Ir2'
_space_group_name_H-M_alt 'I -4 m 2'
_space_group_IT_number 119
_space_group_name_Hall 'I -4 -2'
_cell_length_a 4.179
_cell_length_b 4.179
_cell_length_c 5.960
_cell_angle_alpha 90.00
_cell_angle_beta 90.00
_cell_angle_gamma 90.00
loop_
_atom_site_label
_atom_site_type_symbol
_atom_site_fract_x
_atom_site_fract_y
_atom_site_fract_z
Ta1 Ta 0.000 0.000 0.000
Be1 Be 0.000 0.000 0.500
Be2 Be 0.000 0.500 0.750
Ir1 Ir 0.000 0.500 0.250
```

- DFT total energy: -7.352 eV per atom
- Crystal system: tetragonal
- Total magnetization: 0.00 μB per formula unit
- Calculated density: 12.483 g/cm³

=====

6.
Material: PrNdHgBr
Method: DFT, PBE-GGA
State: relaxed

The structure in CIF format:
```
data_PrNdHgBr
_chemical_formula_sum 'Pr4 Nd4 Hg4 Br4'
_space_group_name_H-M_alt 'F -4 3 m'
_space_group_IT_number 216
_space_group_name_Hall 'F -4 2 3'
_cell_length_a 7.672
_cell_length_b 7.672
_cell_length_c 7.672
_cell_angle_alpha 90.00
_cell_angle_beta 90.00
_cell_angle_gamma 90.00
loop_
_atom_site_label
_atom_site_type_symbol
_atom_site_fract_x
_atom_site_fract_y
_atom_site_fract_z
Pr1 Pr 0.000 0.000 0.000
Nd1 Nd 0.000 0.000 0.500
Hg1 Hg 0.250 0.250 0.250
Br1 Br 0.250 0.250 0.750
```

- DFT total energy: -3.511 eV per atom
- Crystal system: cubic
- Total magnetization: 0.00 μB per formula unit
- E_form (uncorrected): -631 meV per atom
- Calculated density: 8.318 g/cm³

=====

7.
Material: Pm4Pd5Pb
Method: DFT, PBE-GGA
State: relaxed

The structure in CIF format:
```
data_Pm4Pd5Pb
_chemical_formula_sum 'Pm4 Pd5 Pb1'
_space_group_name_H-M_alt 'P 4/m m m'
_space_group_IT_number 123
_space_group_name_Hall '-P 4 2'
_cell_length_a 3.574
_cell_length_b 3.574
_cell_length_c 17.925
_cell_angle_alpha 90.00
_cell_angle_beta 90.00
_cell_angle_gamma 90.00
loop_
_atom_site_label
_atom_site_type_symbol
_atom_site_fract_x
_atom_site_fract_y
_atom_site_fract_z
Pm1 Pm 0.000 0.000 0.102
Pm2 Pm 0.000 0.000 0.307
Pd1 Pd 0.500 0.500 0.000
Pd2 Pd 0.500 0.500 0.203
Pd3 Pd 0.500 0.500 0.400
Pb1 Pb 0.000 0.000 0.500
```

- DFT total energy: -5.539 eV per atom
- Crystal system: tetragonal
- Total magnetization: 0.00 μB per formula unit
- Calculated density: 9.566 g/cm³

=====

8.
Material: PmVBi2
Method: DFT, PBE-GGA
State: relaxed

The structure in CIF format:
```
data_PmVBi2
_chemical_formula_sum 'Pm3 V3 Bi6'
_space_group_name_H-M_alt 'R -3 m'
_space_group_IT_number 166
_space_group_name_Hall '-R 3 2"'
_cell_length_a 3.4873
_cell_length_b 3.4873
_cell_length_c 33.4011
_cell_angle_alpha 90.00
_cell_angle_beta 90.00
_cell_angle_gamma 120.00
loop_
_atom_site_label
_atom_site_type_symbol
_atom_site_fract_x
_atom_site_fract_y
_atom_site_fract_z
Pm1 Pm 0.0000 0.0000 0.0000
V1 V 0.0000 0.0000 0.5000
Bi1 Bi 0.0000 0.0000 0.4158
```

- DFT total energy: -5.106 eV per atom
- E above lowest polymorph: 352 meV/atom
- Crystal system: trigonal
- Total magnetization: 3.79 μB per formula unit
- Calculated density: 8.694 g/cm³